Record 1
Density functional theory data (PBE) for a geometry-optimized FeSi29Ge2 structure.

Cell: 8.6415 9.4583 9.4585 Å, 70.54 68.59 68.55°
Last column: nearest neighbours and their distance in Å.
Fractional coordinates of all 32 atoms:
Fe  0.9959  0.9993  0.7527  3 Si 2.25, 1 Ge 2.31
Ge  0.2396  0.0598  0.5696  1 Fe 2.31, 3 Si 2.43
Ge  0.5003  0.8745  0.8761  4 Si 2.40-2.41
Si  0.2498  0.5614  0.0632  4 Si 2.35-2.37
Si  0.2441  0.8120  0.0633  3 Si 2.35-2.38, 1 Ge 2.40
Si  0.5008  0.3752  0.1255  4 Si 2.36-2.37
Si  0.4996  0.1258  0.1256  4 Si 2.36-2.37
Si  0.7500  0.9378  0.1851  4 Si 2.36-2.38
Si  0.7509  0.6867  0.1887  4 Si 2.35-2.37
Si  0.9984  0.2497  0.2487  4 Si 2.35-2.37
Si  0.0003  0.4990  0.2509  4 Si 2.36-2.37
Si  0.2478  0.0627  0.3091  3 Si 2.35-2.37, 1 Ge 2.43
Si  0.2486  0.8125  0.3118  4 Si 2.36-2.37
Si  0.4998  0.6250  0.3744  4 Si 2.36-2.37
Si  0.5008  0.3743  0.3759  4 Si 2.36-2.37
Si  0.7511  0.9383  0.4352  4 Si 2.36-2.37
Si  0.7511  0.1862  0.4395  4 Si 2.36-2.39
Si  0.0002  0.5015  0.5007  4 Si 2.36-2.37
Si  0.9993  0.7523  0.5017  4 Si 2.36-2.39
Si  0.2492  0.3157  0.5638  3 Si 2.35-2.37, 1 Ge 2.43
Si  0.5034  0.8713  0.6223  2 Si 2.36-2.37, 2 Ge 2.40-2.43
Si  0.5016  0.6221  0.6246  4 Si 2.36-2.37
Si  0.7527  0.4350  0.6875  4 Si 2.36-2.38
Si  0.7603  0.1795  0.6908  1 Fe 2.25, 3 Si 2.37-2.39
Si  0.9995  0.7608  0.7510  1 Fe 2.25, 3 Si 2.37-2.39
Si  0.2493  0.5658  0.8123  4 Si 2.36-2.38
Si  0.2495  0.3152  0.8126  4 Si 2.35-2.37
Si  0.5015  0.1291  0.8745  3 Si 2.36-2.37, 1 Ge 2.41
Si  0.7513  0.4374  0.9367  4 Si 2.36-2.37
Si  0.7552  0.6855  0.9388  3 Si 2.35-2.37, 1 Ge 2.40
Si  0.9981  0.9998  0.9897  1 Fe 2.25, 3 Si 2.38-2.39
Si  0.0002  0.2485  0.9977  4 Si 2.36-2.39

Final energy in eV per atom: -5.4012
Total magnetic moment in μB/cell: 0.0


Record 2
Density functional theory data (PBE) for a geometry-optimized Co2Sn3Mo2 structure.

Cell: 7.8540 7.8540 7.8540 Å, 33.01 33.01 33.01°
Last column: nearest neighbours and their distance in Å.
Fractional coordinates of all 7 atoms:
Co  0.2593  0.2593  0.2593  7 Sn 2.66-2.91
Co  0.7419  0.7419  0.7419  5 Sn 2.64-2.74
Mo  0.0041  0.0041  0.0041  6 Sn 2.76-2.79, 3 Co 3.03
Mo  0.4998  0.4998  0.4998  5 Sn 2.61-2.73
Sn  0.3823  0.3823  0.3823  4 Mo 2.61-2.76, 4 Co 2.64-2.74
Sn  0.6226  0.6226  0.6226  4 Co 2.66, 4 Mo 2.73-2.79
Sn  0.8650  0.8650  0.8650  3 Mo 2.67, 4 Co 2.74-2.91

Final energy in eV per atom: -6.2542
Total magnetic moment in μB/cell: 2.6


Record 3
Density functional theory data (PBE) for a geometry-optimized LuHfNiSn structure.

Cell: 4.8495 4.8495 4.8495 Å, 60.00 60.00 60.00°
Last column: nearest neighbours and their distance in Å.
Fractional coordinates of all 4 atoms:
Hf  0.2500  0.2500  0.2500  4 Lu 2.97, 4 Sn 2.97
Lu  0.5000  0.5000  0.5000  4 Ni 2.97, 4 Hf 2.97
Ni  0.7500  0.7500  0.7500  4 Lu 2.97, 4 Sn 2.97
Sn  0.0000  0.0000  0.0000  4 Hf 2.97, 4 Ni 2.97

Total magnetic moment in μB/cell: 0.6
Relative energy among the computed polymorphs in meV/atom: 0


Record 4
Density functional theory data (PBE) for a geometry-optimized CoBiOsAu structure.

Cell: 4.5864 4.5864 4.5864 Å, 60.00 60.00 60.00°
Last column: nearest neighbours and their distance in Å.
Fractional coordinates of all 4 atoms:
Au  0.5000  0.5000  0.5000  4 Os 2.81, 4 Co 2.81
Bi  0.0000  0.0000  0.0000  4 Os 2.81, 4 Co 2.81
Co  0.7500  0.7500  0.7500  4 Au 2.81, 4 Bi 2.81
Os  0.2500  0.2500  0.2500  4 Au 2.81, 4 Bi 2.81

Total magnetic moment in μB/cell: 1.2
Relative energy among the computed polymorphs in meV/atom: 0


Record 5
Density functional theory data (PBE) for a geometry-optimized UCl5 structure.

Cell: 8.0733 10.8023 11.6106 Å, 90.00 132.63 90.00°
Last column: nearest neighbours and their distance in Å.
Fractional coordinates of all 24 atoms:
Cl  0.4219  0.3724  0.0609  1 U 2.47
Cl  0.4116  0.8732  0.0691  1 U 2.47
Cl  0.1767  0.1125  0.1375  2 U 2.71-2.72
Cl  0.1932  0.6341  0.1469  1 U 2.47
Cl  0.9969  0.8727  0.2417  1 U 2.47
Cl  0.0031  0.3727  0.2582  1 U 2.47
Cl  0.8068  0.1341  0.3531  1 U 2.47
Cl  0.8233  0.6125  0.3625  2 U 2.71-2.72
Cl  0.5884  0.3732  0.4309  1 U 2.47
Cl  0.5781  0.8724  0.4391  1 U 2.47
Cl  0.4219  0.1276  0.5609  1 U 2.47
Cl  0.4116  0.6268  0.5691  1 U 2.47
Cl  0.1767  0.3875  0.6375  2 U 2.71-2.72
Cl  0.1932  0.8659  0.6469  1 U 2.47
Cl  0.9969  0.6273  0.7418  1 U 2.47
Cl  0.0031  0.1273  0.7583  1 U 2.47
Cl  0.8068  0.3659  0.8531  1 U 2.47
Cl  0.8233  0.8875  0.8625  2 U 2.71-2.72
Cl  0.5884  0.1268  0.9309  1 U 2.47
Cl  0.5781  0.6276  0.9391  1 U 2.47
U  0.2161  0.8622  0.1645  6 Cl 2.47-2.72
U  0.7839  0.3622  0.3355  6 Cl 2.47-2.72
U  0.2161  0.6378  0.6645  6 Cl 2.47-2.72
U  0.7839  0.1378  0.8355  6 Cl 2.47-2.72

Final energy in eV per atom: -5.0208
Total magnetic moment in μB/cell: 4.0


Record 6
Density functional theory data (PBE) for a geometry-optimized LiTcPt2 structure.

Cell: 4.3346 4.3346 4.3346 Å, 60.00 60.00 60.00°
Last column: nearest neighbours and their distance in Å.
Fractional coordinates of all 4 atoms:
Li  0.5000  0.5000  0.5000  4 Tc 2.65, 4 Pt 2.65
Pt  0.0000  0.0000  0.0000  4 Pt 2.65, 4 Tc 2.65
Pt  0.7500  0.7500  0.7500  4 Li 2.65, 4 Pt 2.65
Tc  0.2500  0.2500  0.2500  4 Li 2.65, 4 Pt 2.65

Final energy in eV per atom: -6.1258
Total magnetic moment in μB/cell: 0.0


Number 1: calculated volume 20.4 Å³ per atom. Number 2: calculated volume 18.3 Å³ per atom. Number 3: calculated volume 20.2 Å³ per atom. Number 4: calculated volume 17.1 Å³ per atom. Number 5: calculated volume 31.0 Å³ per atom. Number 6: calculated volume 14.4 Å³ per atom.